(1)
Density functional theory data (PBE-GGA) for crystalline Zr2RhCl at its relaxed geometry.

Values from the calculation:
The calculation puts the raw formation energy at -392 meV per atom. As for the density of states at the Fermi level: 18.88 states/eV per cell. The distance to the lowest polymorph of the same formula is 340 meV/atom.

The structure in CIF format:
```
data_Zr2RhCl
_chemical_formula_sum 'Zr8 Rh4 Cl4'
_cell_length_a 6.663
_cell_length_b 6.663
_cell_length_c 6.663
_cell_angle_alpha 90.00
_cell_angle_beta 90.00
_cell_angle_gamma 90.00
_space_group_name_H-M_alt 'F m -3 m'
_space_group_IT_number 225
_space_group_name_Hall '-F 4 2 3'
loop_
_atom_site_label
_atom_site_type_symbol
_atom_site_fract_x
_atom_site_fract_y
_atom_site_fract_z
_atom_site_occupancy
Zr1 Zr 0.250 0.250 0.250 1
Rh1 Rh 0.000 0.000 0.000 1
Cl1 Cl 0.000 0.000 0.500 1
```



(2)
Density functional theory data (PBE-GGA) for crystalline LiTcAg2 at its relaxed geometry.

Values from the calculation:
The calculation puts the formation energy at 0.27 eV/atom. As for the density of states at the Fermi level: 2.52 states/eV per cell. The distance to the lowest polymorph of the same formula is 31 meV/atom.

The structure in CIF format:
```
data_LiTcAg2
_chemical_formula_sum 'Li1 Tc1 Ag2'
_cell_length_a 2.662
_cell_length_b 4.787
_cell_length_c 5.037
_cell_angle_alpha 90.00
_cell_angle_beta 90.00
_cell_angle_gamma 90.00
_space_group_name_H-M_alt 'P m m 2'
_space_group_IT_number 25
loop_
_space_group_symop_operation_xyz
'x,y,z'
'-x,-y,z'
'-x,y,z'
'x,-y,z'
loop_
_atom_site_label
_atom_site_type_symbol
_atom_site_fract_x
_atom_site_fract_y
_atom_site_fract_z
_atom_site_occupancy
Li1 Li 0.000 0.000 0.000 1
Tc1 Tc 0.000 0.500 0.648 1
Ag1 Ag 0.500 0.000 0.512 1
Ag2 Ag 0.500 0.500 0.147 1
```



(3)
Density functional theory data (PBE-GGA) for crystalline CdHI3 at its relaxed geometry.

Values from the calculation:
As for the density of states at the Fermi level: 7.17 states/eV per cell. The distance to the lowest polymorph of the same formula is 202 meV/atom.

The structure in CIF format:
```
data_CdHI3
_chemical_formula_sum 'Cd1 H1 I3'
_cell_length_a 5.188
_cell_length_b 5.188
_cell_length_c 5.188
_cell_angle_alpha 90.00
_cell_angle_beta 90.00
_cell_angle_gamma 90.00
_space_group_name_H-M_alt 'P m -3 m'
_space_group_IT_number 221
_space_group_name_Hall '-P 4 2 3'
loop_
_atom_site_label
_atom_site_type_symbol
_atom_site_fract_x
_atom_site_fract_y
_atom_site_fract_z
_atom_site_occupancy
Cd1 Cd 0.000 0.000 0.000 1
H1 H 0.500 0.500 0.500 1
I1 I 0.000 0.500 0.500 1
```



(4)
Density functional theory data (PBE-GGA) for crystalline LiInAs2 at its relaxed geometry.

Values from the calculation:
The calculation puts the formation energy at -0.16 eV/atom. As for the density of states at the Fermi level: 1.59 states/eV per cell.

The structure in CIF format:
```
data_LiInAs2
_chemical_formula_sum 'Li1 In1 As2'
_cell_length_a 3.777
_cell_length_b 3.777
_cell_length_c 5.897
_cell_angle_alpha 90.00
_cell_angle_beta 90.00
_cell_angle_gamma 90.00
_space_group_name_H-M_alt 'P 4/m m m'
_space_group_IT_number 123
_space_group_name_Hall '-P 4 2'
loop_
_atom_site_label
_atom_site_type_symbol
_atom_site_fract_x
_atom_site_fract_y
_atom_site_fract_z
_atom_site_occupancy
Li1 Li 0.000 0.000 0.000 1
In1 In 0.000 0.000 0.500 1
As1 As 0.500 0.500 0.202 1
```



(5)
Density functional theory data (PBE-GGA) for crystalline Ag2Au at its relaxed geometry.

Values from the calculation:
The calculation puts the formation energy at -0.03 eV/atom. As for the density of states at the Fermi level: 3.66 states/eV per cell. The distance to the lowest polymorph of the same formula is 7 meV/atom.

The structure in CIF format:
```
data_Ag2Au
_chemical_formula_sum 'Ag8 Au4'
_cell_length_a 10.934
_cell_length_b 2.923
_cell_length_c 7.009
_cell_angle_alpha 90.00
_cell_angle_beta 106.15
_cell_angle_gamma 90.00
_space_group_name_H-M_alt 'C 1 2/m 1'
_space_group_IT_number 12
loop_
_space_group_symop_operation_xyz
'x,y,z'
'-x,-y,-z'
'-x,y,-z'
'x,-y,z'
'x+1/2,y+1/2,z'
'-x+1/2,-y+1/2,-z'
'-x+1/2,y+1/2,-z'
'x+1/2,-y+1/2,z'
loop_
_atom_site_label
_atom_site_type_symbol
_atom_site_fract_x
_atom_site_fract_y
_atom_site_fract_z
_atom_site_occupancy
Ag1 Ag 0.026 0.000 0.304 1
Ag2 Ag 0.138 0.500 0.028 1
Au1 Au 0.195 0.500 0.639 1
```



(6)
Density functional theory data (PBE-GGA) for crystalline TbNd2Sm6 at its relaxed geometry.

Values from the calculation:
The calculation puts the formation energy at 0.06 eV/atom. As for the density of states at the Fermi level: 24.38 states/eV per cell. The distance to the lowest polymorph of the same formula is 0 meV/atom.

The structure in CIF format:
```
data_TbNd2Sm6
_chemical_formula_sum 'Tb2 Nd4 Sm12'
_cell_length_a 9.910
_cell_length_b 17.236
_cell_length_c 3.546
_cell_angle_alpha 90.00
_cell_angle_beta 90.00
_cell_angle_gamma 90.00
_space_group_name_H-M_alt 'C m m m'
_space_group_IT_number 65
_space_group_name_Hall '-C 2 2'
loop_
_atom_site_label
_atom_site_type_symbol
_atom_site_fract_x
_atom_site_fract_y
_atom_site_fract_z
_atom_site_occupancy
Tb1 Tb 0.000 0.000 0.000 1
Nd1 Nd 0.000 0.333 0.000 1
Sm1 Sm 0.166 0.166 0.500 1
Sm2 Sm 0.168 0.500 0.500 1
```



(7)
Density functional theory data (PBE-GGA) for crystalline Al2ZnTc2 at its relaxed geometry.

Values from the calculation:
The calculation puts the formation energy at -0.14 eV/atom. As for the density of states at the Fermi level: 8.89 states/eV per cell. The distance to the lowest polymorph of the same formula is 31 meV/atom.

The structure in CIF format:
```
data_Al2ZnTc2
_chemical_formula_sum 'Al4 Zn2 Tc4'
_cell_length_a 6.631
_cell_length_b 6.631
_cell_length_c 3.482
_cell_angle_alpha 90.00
_cell_angle_beta 90.00
_cell_angle_gamma 90.00
_space_group_name_H-M_alt 'P 4/m b m'
_space_group_IT_number 127
_space_group_name_Hall '-P 4 2ab'
loop_
_atom_site_label
_atom_site_type_symbol
_atom_site_fract_x
_atom_site_fract_y
_atom_site_fract_z
_atom_site_occupancy
Al1 Al 0.147 0.353 0.000 1
Zn1 Zn 0.000 0.000 0.500 1
Tc1 Tc 0.151 0.651 0.500 1
```



(8)
Density functional theory data (PBE-GGA) for crystalline GdThRu2 at its relaxed geometry.

Values from the calculation:
The calculation puts the formation energy at -0.38 eV/atom. As for the density of states at the Fermi level: 10.55 states/eV per cell.

The structure in CIF format:
```
data_GdThRu2
_chemical_formula_sum 'Gd4 Th4 Ru8'
_cell_length_a 6.987
_cell_length_b 6.987
_cell_length_c 6.987
_cell_angle_alpha 90.00
_cell_angle_beta 90.00
_cell_angle_gamma 90.00
_space_group_name_H-M_alt 'F m -3 m'
_space_group_IT_number 225
_space_group_name_Hall '-F 4 2 3'
loop_
_atom_site_label
_atom_site_type_symbol
_atom_site_fract_x
_atom_site_fract_y
_atom_site_fract_z
_atom_site_occupancy
Gd1 Gd 0.000 0.000 0.000 1
Th1 Th 0.000 0.000 0.500 1
Ru1 Ru 0.250 0.250 0.250 1
```



Copy entry 3 word for word.
Density functional theory data (PBE-GGA) for crystalline CdHI3 at its relaxed geometry.

Values from the calculation:
As for the density of states at the Fermi level: 7.17 states/eV per cell. The distance to the lowest polymorph of the same formula is 202 meV/atom.

The structure in CIF format:
```
data_CdHI3
_chemical_formula_sum 'Cd1 H1 I3'
_cell_length_a 5.188
_cell_length_b 5.188
_cell_length_c 5.188
_cell_angle_alpha 90.00
_cell_angle_beta 90.00
_cell_angle_gamma 90.00
_space_group_name_H-M_alt 'P m -3 m'
_space_group_IT_number 221
_space_group_name_Hall '-P 4 2 3'
loop_
_atom_site_label
_atom_site_type_symbol
_atom_site_fract_x
_atom_site_fract_y
_atom_site_fract_z
_atom_site_occupancy
Cd1 Cd 0.000 0.000 0.000 1
H1 H 0.500 0.500 0.500 1
I1 I 0.000 0.500 0.500 1
```